# 1
# CdCo2Os

A relaxed structure of CdCo2Os (PBE, Alexandria).

Unit cell a=4.452 b=4.452 c=2.779 alpha=90.00 beta=90.00 gamma=90.00
Last column: magnetic moment on the atom in μB.
Fractional positions:
Cd 0.000 0.500 0.500  -0.05
Os 0.500 0.000 0.500  0.57
Co 0.000 0.000 0.000  1.25
Co 0.500 0.500 0.000  1.25

Computed properties:
As for the space-group type: P4/mmm, No. 123. As for the formation energy: 450 meV/atom.

# 2
# CdCo2Os

A relaxed structure of CdCo2Os (PBE, Alexandria).

Unit cell a=5.263 b=5.263 c=5.263 alpha=150.08 beta=129.45 gamma=59.86
Last column: magnetic moment on the atom in μB.
Fractional positions:
Co 0.757 0.257 0.500  1.40
Os 0.524 0.524 0.000  0.32
Co 0.976 0.976 0.000  1.46
Cd 0.242 0.742 0.500  -0.03

Computed properties:
As for the space-group type: Imm2, No. 44. As for the formation energy: 433 meV/atom.

# 3
# CdCoOs

A relaxed structure of CdCoOs (PBE, Alexandria).

Unit cell a=4.372 b=4.372 c=2.721 alpha=90.00 beta=90.00 gamma=120.00
Last column: magnetic moment on the atom in μB.
Fractional positions:
Cd 0.000 0.000 0.000  -0.01
Os 0.667 0.333 0.500  0.34
Co 0.333 0.667 0.501  1.10

Computed properties:
As for the excess energy over the best structure of this formula in the dataset: 0.3173 eV per atom. As for the space-group type: P-6m2, No. 187. As for the formation energy: 639 meV/atom.

# 4
# CdCo2Os

A relaxed structure of CdCo2Os (PBE, Alexandria).

Unit cell a=2.708 b=3.534 c=5.773 alpha=90.00 beta=90.00 gamma=90.00
Fractional positions:
Cd 0.500 0.500 0.750
Os 0.500 0.500 0.250
Co 0.000 0.000 0.459
Co 0.000 0.000 0.041

Computed properties:
As for the space-group type: Pmmm, No. 47. As for the formation energy: 310 meV/atom.